ScNiSn2: relaxed, PBE-GGA.

a b c (Å): 4.3566 4.3566 4.1040
angles (deg): 90.00 90.00 90.00
Element x y z (fractional)
Sc (0.0000, 0.0000, 0.0000)
Ni (0.5000, 0.5000, 0.0000)
Sn (0.0000, 0.5000, 0.5000)
Sn (0.5000, 0.0000, 0.5000)

DFT total energy ... -21.35 eV per cell
ΔE_f ... -0.309 eV/atom
Space group ... No. 123


ScNi15Sn4: relaxed, PBE-GGA.

a b c (Å): 3.7355 3.7355 18.5754
angles (deg): 90.00 90.00 90.00
Element x y z (fractional)
Sc (0.0000, 0.0000, 0.0000)
Ni (0.0000, 0.5000, 0.0997)
Ni (0.0000, 0.5000, 0.2992)
Ni (0.0000, 0.5000, 0.5000)
Ni (0.0000, 0.5000, 0.7008)
Ni (0.0000, 0.5000, 0.9003)
Ni (0.5000, 0.0000, 0.0997)
Ni (0.5000, 0.0000, 0.2992)
Ni (0.5000, 0.0000, 0.5000)
Ni (0.5000, 0.0000, 0.7008)
Ni (0.5000, 0.0000, 0.9003)
Ni (0.5000, 0.5000, 0.0000)
Ni (0.5000, 0.5000, 0.2004)
Ni (0.5000, 0.5000, 0.3995)
Ni (0.5000, 0.5000, 0.6005)
Ni (0.5000, 0.5000, 0.7996)
Sn (0.0000, 0.0000, 0.1987)
Sn (0.0000, 0.0000, 0.3997)
Sn (0.0000, 0.0000, 0.6003)
Sn (0.0000, 0.0000, 0.8013)

DFT total energy ... -113.60 eV per cell
ΔE_f ... -0.227 eV/atom
Space group ... No. 123


Sc4Ni2Sn: relaxed, PBE-GGA.

a b c (Å): 4.7642 4.7642 13.7625
angles (deg): 90.00 90.00 120.02
Element x y z (fractional)
Sc (0.0000, 0.0000, 0.0000)
Sc (0.0000, 0.0000, 0.5000)
Sc (0.3330, 0.6670, 0.6239)
Sc (0.3330, 0.6670, 0.8761)
Sc (0.3338, 0.6662, 0.2500)
Sc (0.6662, 0.3338, 0.7500)
Sc (0.6670, 0.3330, 0.1239)
Sc (0.6670, 0.3330, 0.3761)
Ni (0.3335, 0.6665, 0.0557)
Ni (0.3335, 0.6665, 0.4443)
Ni (0.6665, 0.3335, 0.5557)
Ni (0.6665, 0.3335, 0.9443)
Sn (0.0005, 0.9995, 0.2500)
Sn (0.9995, 0.0005, 0.7500)

DFT total energy ... -87.92 eV per cell
Distance to the lowest polymorph of the same formula ... 0 meV per atom
ΔE_f ... -0.438 eV/atom
Space group ... No. 63


TbScNiSn: relaxed, PBE-GGA.

a b c (Å): 7.0176 7.0176 7.0176
angles (deg): 90.00 90.00 90.00
Element x y z (fractional)
Tb (0.0000, 0.0000, 0.0000)
Tb (0.0000, 0.5000, 0.5000)
Tb (0.5000, 0.0000, 0.5000)
Tb (0.5000, 0.5000, 0.0000)
Sc (0.0000, 0.0000, 0.5000)
Sc (0.0000, 0.5000, 0.0000)
Sc (0.5000, 0.0000, 0.0000)
Sc (0.5000, 0.5000, 0.5000)
Ni (0.2500, 0.2500, 0.2500)
Ni (0.2500, 0.7500, 0.7500)
Ni (0.7500, 0.2500, 0.7500)
Ni (0.7500, 0.7500, 0.2500)
Sn (0.2500, 0.2500, 0.7500)
Sn (0.2500, 0.7500, 0.2500)
Sn (0.7500, 0.2500, 0.2500)
Sn (0.7500, 0.7500, 0.7500)

DFT total energy ... -90.00 eV per cell
ΔE_f ... -0.439 eV/atom
Space group ... No. 216


ScTcNiSn: relaxed, PBE-GGA.

a b c (Å): 6.3943 6.3943 6.3943
angles (deg): 90.00 90.00 90.00
Element x y z (fractional)
Sc (0.0000, 0.0000, 0.0000)
Sc (0.0000, 0.5000, 0.5000)
Sc (0.5000, 0.0000, 0.5000)
Sc (0.5000, 0.5000, 0.0000)
Tc (0.2500, 0.2500, 0.7500)
Tc (0.2500, 0.7500, 0.2500)
Tc (0.7500, 0.2500, 0.2500)
Tc (0.7500, 0.7500, 0.7500)
Ni (0.2500, 0.2500, 0.2500)
Ni (0.2500, 0.7500, 0.7500)
Ni (0.7500, 0.2500, 0.7500)
Ni (0.7500, 0.7500, 0.2500)
Sn (0.0000, 0.0000, 0.5000)
Sn (0.0000, 0.5000, 0.0000)
Sn (0.5000, 0.0000, 0.0000)
Sn (0.5000, 0.5000, 0.5000)

DFT total energy ... -110.70 eV per cell
ΔE_f ... -0.298 eV/atom
Space group ... No. 216


TmScNiSn: relaxed, PBE-GGA.

a b c (Å): 6.9456 6.9456 6.9456
angles (deg): 90.00 90.00 90.00
Element x y z (fractional)
Tm (0.0000, 0.0000, 0.0000)
Tm (0.0000, 0.5000, 0.5000)
Tm (0.5000, 0.0000, 0.5000)
Tm (0.5000, 0.5000, 0.0000)
Sc (0.0000, 0.0000, 0.5000)
Sc (0.0000, 0.5000, 0.0000)
Sc (0.5000, 0.0000, 0.0000)
Sc (0.5000, 0.5000, 0.5000)
Ni (0.2500, 0.2500, 0.7500)
Ni (0.2500, 0.7500, 0.2500)
Ni (0.7500, 0.2500, 0.2500)
Ni (0.7500, 0.7500, 0.7500)
Sn (0.2500, 0.2500, 0.2500)
Sn (0.2500, 0.7500, 0.7500)
Sn (0.7500, 0.2500, 0.7500)
Sn (0.7500, 0.7500, 0.2500)

DFT total energy ... -89.67 eV per cell
ΔE_f ... -0.457 eV/atom
Space group ... No. 216


ScVNiSn2: relaxed, PBE-GGA.

a b c (Å): 5.2789 5.2789 4.2552
angles (deg): 90.00 90.00 90.00
Element x y z (fractional)
Sc (0.0000, 0.0000, 0.0000)
V (0.5000, 0.5000, 0.5000)
Ni (0.0000, 0.0000, 0.5000)
Sn (0.0000, 0.5000, 0.0000)
Sn (0.5000, 0.0000, 0.0000)

DFT total energy ... -23.47 eV per cell
ΔE_f ... 1.154 eV/atom
Space group ... No. 123


YScNiSn: relaxed, PBE-GGA.

a b c (Å): 7.0088 7.0088 7.0088
angles (deg): 90.00 90.00 90.00
Element x y z (fractional)
Y (0.0000, 0.0000, 0.0000)
Y (0.0000, 0.5000, 0.5000)
Y (0.5000, 0.0000, 0.5000)
Y (0.5000, 0.5000, 0.0000)
Sc (0.0000, 0.0000, 0.5000)
Sc (0.0000, 0.5000, 0.0000)
Sc (0.5000, 0.0000, 0.0000)
Sc (0.5000, 0.5000, 0.5000)
Ni (0.2500, 0.2500, 0.2500)
Ni (0.2500, 0.7500, 0.7500)
Ni (0.7500, 0.2500, 0.7500)
Ni (0.7500, 0.7500, 0.2500)
Sn (0.2500, 0.2500, 0.7500)
Sn (0.2500, 0.7500, 0.2500)
Sn (0.7500, 0.2500, 0.2500)
Sn (0.7500, 0.7500, 0.7500)

DFT total energy ... -97.55 eV per cell
ΔE_f ... -0.452 eV/atom
Space group ... No. 216


Sc2Zn2Ni5Sn: relaxed, PBE-GGA.

a b c (Å): 8.9855 8.9855 3.6325
angles (deg): 90.00 90.00 90.00
Element x y z (fractional)
Sc (0.1776, 0.3224, 0.0000)
Sc (0.3224, 0.8224, 0.0000)
Sc (0.6776, 0.1776, 0.0000)
Sc (0.8224, 0.6776, 0.0000)
Zn (0.1181, 0.6181, 0.0000)
Zn (0.3819, 0.1181, 0.0000)
Zn (0.6181, 0.8819, 0.0000)
Zn (0.8819, 0.3819, 0.0000)
Ni (0.0000, 0.5000, 0.5000)
Ni (0.0668, 0.7895, 0.5000)
Ni (0.2105, 0.0668, 0.5000)
Ni (0.2895, 0.5668, 0.5000)
Ni (0.4332, 0.2895, 0.5000)
Ni (0.5000, 0.0000, 0.5000)
Ni (0.5668, 0.7105, 0.5000)
Ni (0.7105, 0.4332, 0.5000)
Ni (0.7895, 0.9332, 0.5000)
Ni (0.9332, 0.2105, 0.5000)
Sn (0.0000, 0.0000, 0.0000)
Sn (0.5000, 0.5000, 0.0000)

DFT total energy ... -102.92 eV per cell
ΔE_f ... -0.334 eV/atom
Space group ... No. 127


Zr4ScNi5Sn5: relaxed, PBE-GGA.

a b c (Å): 18.0189 18.0189 18.0189
angles (deg): 13.88 13.88 13.88
Element x y z (fractional)
Zr (0.0000, 0.0000, 0.0000)
Zr (0.1994, 0.1994, 0.1994)
Zr (0.4000, 0.4000, 0.4000)
Zr (0.7998, 0.7998, 0.7998)
Sc (0.6006, 0.6006, 0.6006)
Ni (0.0501, 0.0501, 0.0501)
Ni (0.2494, 0.2494, 0.2494)
Ni (0.4499, 0.4499, 0.4499)
Ni (0.6506, 0.6506, 0.6506)
Ni (0.8498, 0.8498, 0.8498)
Sn (0.0999, 0.0999, 0.0999)
Sn (0.2996, 0.2996, 0.2996)
Sn (0.4996, 0.4996, 0.4996)
Sn (0.7001, 0.7001, 0.7001)
Sn (0.8997, 0.8997, 0.8997)

DFT total energy ... -99.41 eV per cell
ΔE_f ... -0.664 eV/atom
Space group ... No. 160


SrScNi2: relaxed, PBE-GGA.

a b c (Å): 3.9178 3.7893 11.7647
angles (deg): 90.00 90.00 90.00
Element x y z (fractional)
Sr (0.0000, 0.0000, 0.0000)
Sr (0.0000, 0.5000, 0.5000)
Sc (0.5000, 0.0000, 0.2700)
Sc (0.5000, 0.5000, 0.7700)
Ni (0.0000, 0.0000, 0.7318)
Ni (0.0000, 0.5000, 0.2318)
Ni (0.5000, 0.0000, 0.6207)
Ni (0.5000, 0.5000, 0.1207)

DFT total energy ... -40.33 eV per cell
Distance to the lowest polymorph of the same formula ... 30 meV per atom
ΔE_f ... -0.147 eV/atom
Space group ... No. 38


SrScNi2: relaxed, PBE-GGA.

a b c (Å): 3.3852 3.3415 6.9464
angles (deg): 90.00 90.18 90.00
Element x y z (fractional)
Sr (0.0000, 0.0000, 0.0000)
Sc (0.0000, 0.0000, 0.5000)
Ni (0.4988, 0.5000, 0.3127)
Ni (0.5012, 0.5000, 0.6873)

DFT total energy ... -20.28 eV per cell
Distance to the lowest polymorph of the same formula ... 0 meV per atom
ΔE_f ... -0.177 eV/atom
Space group ... No. 10


SrScNi2: relaxed, PBE-GGA.

a b c (Å): 6.7653 6.7653 6.7653
angles (deg): 90.00 90.00 90.00
Element x y z (fractional)
Sr (0.0000, 0.0000, 0.0000)
Sr (0.0000, 0.5000, 0.5000)
Sr (0.5000, 0.0000, 0.5000)
Sr (0.5000, 0.5000, 0.0000)
Sc (0.0000, 0.0000, 0.5000)
Sc (0.0000, 0.5000, 0.0000)
Sc (0.5000, 0.0000, 0.0000)
Sc (0.5000, 0.5000, 0.5000)
Ni (0.2500, 0.2500, 0.2500)
Ni (0.2500, 0.2500, 0.7500)
Ni (0.2500, 0.7500, 0.2500)
Ni (0.2500, 0.7500, 0.7500)
Ni (0.7500, 0.2500, 0.2500)
Ni (0.7500, 0.2500, 0.7500)
Ni (0.7500, 0.7500, 0.2500)
Ni (0.7500, 0.7500, 0.7500)

DFT total energy ... -77.96 eV per cell
Distance to the lowest polymorph of the same formula ... 198 meV per atom
ΔE_f ... 0.022 eV/atom
Space group ... No. 225


SrScNi: relaxed, PBE-GGA.

a b c (Å): 3.4502 3.4502 12.5164
angles (deg): 90.00 90.00 90.00
Element x y z (fractional)
Sr (0.0000, 0.0000, 0.0000)
Sr (0.5000, 0.5000, 0.5000)
Sc (0.0000, 0.0000, 0.2609)
Sc (0.5000, 0.5000, 0.7609)
Ni (0.0000, 0.0000, 0.6739)
Ni (0.5000, 0.5000, 0.1739)

DFT total energy ... -27.88 eV per cell
Distance to the lowest polymorph of the same formula ... 0 meV per atom
ΔE_f ... -0.049 eV/atom
Space group ... No. 107


SrSc3Ni: relaxed, PBE-GGA.

a b c (Å): 5.0082 5.0082 5.0082
angles (deg): 90.00 90.00 90.00
Element x y z (fractional)
Sr (0.0000, 0.0000, 0.0000)
Sc (0.0000, 0.0000, 0.5000)
Sc (0.0000, 0.5000, 0.0000)
Sc (0.5000, 0.0000, 0.0000)
Ni (0.5000, 0.5000, 0.5000)

DFT total energy ... -18.22 eV per cell
Distance to the lowest polymorph of the same formula ... 1676 meV per atom
ΔE_f ... 1.647 eV/atom
Space group ... No. 221


SrScNi: relaxed, PBE-GGA.

a b c (Å): 6.8016 6.8016 6.8016
angles (deg): 90.00 90.00 90.00
Element x y z (fractional)
Sr (0.0000, 0.0000, 0.0000)
Sr (0.0000, 0.5000, 0.5000)
Sr (0.5000, 0.0000, 0.5000)
Sr (0.5000, 0.5000, 0.0000)
Sc (0.0000, 0.0000, 0.5000)
Sc (0.0000, 0.5000, 0.0000)
Sc (0.5000, 0.0000, 0.0000)
Sc (0.5000, 0.5000, 0.5000)
Ni (0.2500, 0.2500, 0.7500)
Ni (0.2500, 0.7500, 0.2500)
Ni (0.7500, 0.2500, 0.2500)
Ni (0.7500, 0.7500, 0.7500)

DFT total energy ... -52.86 eV per cell
Distance to the lowest polymorph of the same formula ... 242 meV per atom
ΔE_f ... 0.193 eV/atom
Space group ... No. 216


SrScNi10: relaxed, PBE-GGA.

a b c (Å): 3.9625 4.8874 8.5051
angles (deg): 90.00 90.00 90.00
Element x y z (fractional)
Sr (0.0000, 0.0000, 0.0000)
Sc (0.0000, 0.5000, 0.5000)
Ni (0.0000, 0.0000, 0.3461)
Ni (0.0000, 0.0000, 0.6539)
Ni (0.0000, 0.5000, 0.1867)
Ni (0.0000, 0.5000, 0.8133)
Ni (0.5000, 0.0000, 0.5000)
Ni (0.5000, 0.2556, 0.2615)
Ni (0.5000, 0.2556, 0.7385)
Ni (0.5000, 0.5000, 0.0000)
Ni (0.5000, 0.7444, 0.2615)
Ni (0.5000, 0.7444, 0.7385)

DFT total energy ... -67.59 eV per cell
ΔE_f ... -0.147 eV/atom
Space group ... No. 47


SrScNi2: relaxed, PBE-GGA.

a b c (Å): 3.6738 3.8848 12.5105
angles (deg): 90.00 90.00 90.00
Element x y z (fractional)
Sr (0.0000, 0.0000, 0.0000)
Sr (0.5000, 0.5000, 0.5000)
Sc (0.0000, 0.5000, 0.2423)
Sc (0.5000, 0.0000, 0.7423)
Ni (0.0000, 0.0000, 0.3785)
Ni (0.0000, 0.5000, 0.7601)
Ni (0.5000, 0.0000, 0.2601)
Ni (0.5000, 0.5000, 0.8785)

DFT total energy ... -39.67 eV per cell
Distance to the lowest polymorph of the same formula ... 112 meV per atom
ΔE_f ... -0.065 eV/atom
Space group ... No. 44


SrScNi2: relaxed, PBE-GGA.

a b c (Å): 6.6083 6.6083 6.6083
angles (deg): 90.00 90.00 90.00
Element x y z (fractional)
Sr (0.0000, 0.0000, 0.0000)
Sr (0.0000, 0.5000, 0.5000)
Sr (0.5000, 0.0000, 0.5000)
Sr (0.5000, 0.5000, 0.0000)
Sc (0.2500, 0.2500, 0.2500)
Sc (0.2500, 0.7500, 0.7500)
Sc (0.7500, 0.2500, 0.7500)
Sc (0.7500, 0.7500, 0.2500)
Ni (0.0000, 0.0000, 0.5000)
Ni (0.0000, 0.5000, 0.0000)
Ni (0.2500, 0.2500, 0.7500)
Ni (0.2500, 0.7500, 0.2500)
Ni (0.5000, 0.0000, 0.0000)
Ni (0.5000, 0.5000, 0.5000)
Ni (0.7500, 0.2500, 0.2500)
Ni (0.7500, 0.7500, 0.7500)

DFT total energy ... -73.04 eV per cell
Distance to the lowest polymorph of the same formula ... 506 meV per atom
ΔE_f ... 0.329 eV/atom
Space group ... No. 216


SrSc4Ni: relaxed, PBE-GGA.

a b c (Å): 6.0701 6.0701 6.0701
angles (deg): 60.00 60.00 60.00
Element x y z (fractional)
Sr (0.0000, 0.0000, 0.0000)
Sc (0.3769, 0.3769, 0.3769)
Sc (0.3769, 0.3769, 0.8692)
Sc (0.3769, 0.8692, 0.3769)
Sc (0.8692, 0.3769, 0.3769)
Ni (0.7500, 0.7500, 0.7500)

DFT total energy ... -29.36 eV per cell
ΔE_f ... 0.571 eV/atom
Space group ... No. 216


SrScNi2: relaxed, PBE-GGA.

a b c (Å): 3.9614 3.9614 9.9036
angles (deg): 90.00 90.00 90.00
Element x y z (fractional)
Sr (0.0000, 0.0000, 0.0000)
Sr (0.5000, 0.5000, 0.5000)
Sc (0.0000, 0.5000, 0.2500)
Sc (0.5000, 0.0000, 0.7500)
Ni (0.0000, 0.0000, 0.5000)
Ni (0.0000, 0.5000, 0.7500)
Ni (0.5000, 0.0000, 0.2500)
Ni (0.5000, 0.5000, 0.0000)

DFT total energy ... -37.59 eV per cell
Distance to the lowest polymorph of the same formula ... 372 meV per atom
ΔE_f ... 0.196 eV/atom
Space group ... No. 119


SrSc2Ni2: relaxed, PBE-GGA.

a b c (Å): 4.7256 4.7256 10.5809
angles (deg): 90.00 90.00 90.00
Element x y z (fractional)
Sr (0.0000, 0.0000, 0.0000)
Sr (0.5000, 0.5000, 0.5000)
Sc (0.0000, 0.0000, 0.3378)
Sc (0.0000, 0.0000, 0.6622)
Sc (0.5000, 0.5000, 0.1622)
Sc (0.5000, 0.5000, 0.8378)
Ni (0.0000, 0.5000, 0.2500)
Ni (0.0000, 0.5000, 0.7500)
Ni (0.5000, 0.0000, 0.2500)
Ni (0.5000, 0.0000, 0.7500)

DFT total energy ... -52.21 eV per cell
Distance to the lowest polymorph of the same formula ... 80 meV per atom
ΔE_f ... -0.040 eV/atom
Space group ... No. 139


SrScNi: relaxed, PBE-GGA.

a b c (Å): 6.7674 6.7674 6.7674
angles (deg): 90.00 90.00 90.00
Element x y z (fractional)
Sr (0.0000, 0.0000, 0.0000)
Sr (0.0000, 0.5000, 0.5000)
Sr (0.5000, 0.0000, 0.5000)
Sr (0.5000, 0.5000, 0.0000)
Sc (0.2500, 0.2500, 0.7500)
Sc (0.2500, 0.7500, 0.2500)
Sc (0.7500, 0.2500, 0.2500)
Sc (0.7500, 0.7500, 0.7500)
Ni (0.2500, 0.2500, 0.2500)
Ni (0.2500, 0.7500, 0.7500)
Ni (0.7500, 0.2500, 0.7500)
Ni (0.7500, 0.7500, 0.2500)

DFT total energy ... -42.76 eV per cell
Distance to the lowest polymorph of the same formula ... 1084 meV per atom
ΔE_f ... 1.035 eV/atom
Space group ... No. 216


SrScNi2: relaxed, PBE-GGA.

a b c (Å): 4.0355 4.0355 20.4708
angles (deg): 90.00 90.00 120.00
Element x y z (fractional)
Sr (0.0000, 0.0000, 0.0000)
Sr (0.3333, 0.6667, 0.6667)
Sr (0.6667, 0.3333, 0.3333)
Sc (0.0000, 0.0000, 0.8274)
Sc (0.3333, 0.6667, 0.4941)
Sc (0.6667, 0.3333, 0.1607)
Ni (0.0000, 0.0000, 0.2255)
Ni (0.0000, 0.0000, 0.5598)
Ni (0.3333, 0.6667, 0.2264)
Ni (0.3333, 0.6667, 0.8922)
Ni (0.6667, 0.3333, 0.5589)
Ni (0.6667, 0.3333, 0.8931)

DFT total energy ... -60.54 eV per cell
Distance to the lowest polymorph of the same formula ... 25 meV per atom
ΔE_f ... -0.151 eV/atom
Space group ... No. 160


SrSc2Ni2: relaxed, PBE-GGA.

a b c (Å): 7.8311 7.8311 3.4174
angles (deg): 90.00 90.00 90.00
Element x y z (fractional)
Sr (0.0000, 0.0000, 0.0000)
Sr (0.5000, 0.5000, 0.0000)
Sc (0.1400, 0.3600, 0.5000)
Sc (0.3600, 0.8600, 0.5000)
Sc (0.6400, 0.1400, 0.5000)
Sc (0.8600, 0.6400, 0.5000)
Ni (0.1269, 0.6269, 0.0000)
Ni (0.3731, 0.1269, 0.0000)
Ni (0.6269, 0.8731, 0.0000)
Ni (0.8731, 0.3731, 0.0000)

DFT total energy ... -53.01 eV per cell
Distance to the lowest polymorph of the same formula ... 0 meV per atom
ΔE_f ... -0.120 eV/atom
Space group ... No. 127


SrScNi2: relaxed, PBE-GGA.

a b c (Å): 3.1737 4.7248 5.4668
angles (deg): 90.00 90.00 90.00
Element x y z (fractional)
Sr (0.0000, 0.0000, 0.0000)
Sc (0.5000, 0.5000, 0.5000)
Ni (0.0000, 0.0000, 0.5000)
Ni (0.5000, 0.5000, 0.0000)

DFT total energy ... -18.67 eV per cell
Distance to the lowest polymorph of the same formula ... 403 meV per atom
ΔE_f ... 0.227 eV/atom
Space group ... No. 47